Material: Hf6ZnC4
Method: DFT, GGA-PBE
State: optimized geometry

Calculated values
magnetic moment	0.0	Bohr magnetons per cell
calculated formation energy	-774	meV per atom

Geometry as extended XYZ:
```
22
Lattice="-0.7766 -2.1902 -2.4030 5.7699 0.1990 0.2791 -0.1253 -12.8545 11.7566" Properties=species:S:1:pos:R:3 pbc="T T T"
Zn 3.5797 -10.2526 8.1877
Zn 1.2883 -4.5931 1.4449
C 3.3820 -14.0828 9.4175
C 3.4346 -8.6848 4.4806
C 1.4334 -6.1609 5.1520
C 0.5077 -9.2538 5.9451
C 4.3924 -2.3032 0.6797
C 0.4756 -12.5425 8.9529
C 1.4860 -0.7629 0.2151
C 4.3603 -5.5919 3.6875
Hf 2.3593 -7.8370 6.3805
Hf 1.1359 -11.0054 7.3386
Hf 4.4977 -12.8448 7.9285
Hf 2.5087 -7.0087 3.2521
Hf -0.3883 -1.0951 -1.2015
Hf 2.3162 -12.2546 10.4207
Hf 0.3454 -4.5559 4.0408
Hf -0.4509 -7.5224 4.6768
Hf 0.3703 -2.0010 1.7041
Hf 4.5226 -10.2899 5.5918
Hf 3.7322 -3.8403 2.2940
Hf 2.5518 -2.5912 -0.7881
```


Material: K2TaV2Te6
Method: DFT, GGA-PBE
State: optimized geometry

Calculated values
energy relative to the elements, uncorrected	-0.47	eV per atom
magnetic moment	0.9	Bohr magnetons per cell

Geometry as extended XYZ:
```
11
Lattice="-1.7380 1.1980 6.2927 -2.0640 -5.4799 -3.1248 8.1510 -3.2039 1.9897" Properties=species:S:1:pos:R:3 pbc="T T T"
K -1.7946 0.0390 4.6582
K -2.0074 -4.3209 -1.4903
Te 4.6227 -4.2767 0.3528
Te -0.3897 -5.5850 1.4541
Te 4.7387 -1.9007 3.7035
Te -0.2737 -3.2091 4.8048
Te 3.0622 -5.3802 3.7091
Te 1.2868 -2.1056 1.4485
Ta 4.0755 -1.6019 0.9949
V 2.2160 -2.8932 3.7771
V 2.1330 -4.5926 1.3806
```


Material: Sr2MgHAu
Method: DFT, GGA-PBE
State: optimized geometry

Calculated values
magnetic moment	0.0	Bohr magnetons per cell
energy	-2.69	eV/atom

Geometry as extended XYZ:
```
5
Lattice="-0.0079 4.5675 -2.6669 0.0581 -2.6666 -4.5673 -4.2995 -0.0294 -0.0375" Properties=species:S:1:pos:R:3 pbc="T T T"
Mg -2.1498 -0.0147 -0.0188
Au -2.1247 0.9357 -3.6358
Sr 0.0291 -1.3333 -2.2836
Sr -0.0040 2.2838 -1.3334
H 0.0000 0.0000 0.0000
```


Material: SrLiCeZn
Method: DFT, GGA-PBE
State: optimized geometry

Calculated values
magnetic moment	1.2	Bohr magnetons per cell
calculated formation energy	75	meV per atom

Geometry as extended XYZ:
```
4
Lattice="-0.7797 0.8578 -5.3041 3.9785 -1.0690 -3.5365 -0.4451 -4.2137 -3.3947" Properties=species:S:1:pos:R:3 pbc="T T T"
Ce 1.3768 -2.2124 -6.1176
Zn 0.6884 -1.1062 -3.0588
Li 2.0652 -3.3187 -9.1765
Sr 0.0000 0.0000 0.0000
```


Material: La3C2Br3
Method: DFT, GGA-PBE
State: optimized geometry

Calculated values
energy relative to the elements, uncorrected	-1.29	eV per atom
magnetic moment	0.0	Bohr magnetons per cell

Geometry as extended XYZ:
```
64
Lattice="-9.6834 3.9080 0.5708 0.1519 -9.5542 -4.2498 -1.9091 -7.0284 15.7326" Properties=species:S:1:pos:R:3 pbc="T T T"
La -2.1918 -11.4271 4.2294
La -4.9563 -10.4378 2.3077
La -3.5567 -5.4122 8.7015
La -6.2298 -2.4718 10.0662
La -7.0431 -4.2941 14.3512
La -6.8358 -4.3403 7.1222
La -4.7308 -8.4357 -1.9682
La -1.9502 -9.0873 0.4798
La -10.6187 -4.6859 8.1502
La -8.3765 -7.9926 14.1785
La -9.4904 -3.5873 11.5739
La -4.0155 -6.2604 1.4920
La -3.9510 -7.9470 5.1838
La -11.1628 -6.8767 12.3031
La -7.3288 -5.2189 -1.2220
La -2.8963 -14.7634 12.1092
La -0.2630 -5.9314 -0.7017
La -8.3039 2.2312 0.0373
La -2.8916 -4.3050 5.2791
La -7.4251 -6.4141 10.5617
La -3.7179 -5.0693 -2.3772
La -9.1041 -10.4130 11.3487
La -9.4893 -1.3899 7.7315
La -0.7578 -7.5650 3.7062
Br -2.6574 -8.2064 10.1591
Br -4.1503 -12.2889 10.6572
Br -1.3906 -4.8264 2.3115
Br -6.4730 -7.9234 0.5905
Br -4.9955 -4.8540 11.6931
Br -10.4909 -10.0390 6.2815
Br -6.7836 -9.2810 4.5237
Br -4.0486 -1.6635 3.7220
Br -5.0457 -3.5676 0.0118
Br -1.3242 -3.1347 -1.5021
Br -1.7942 -6.3004 13.5845
Br -3.4617 -10.4470 6.9183
Br -5.8836 -7.2247 7.8285
Br -8.7472 -4.3355 1.5974
Br -9.1736 -6.0691 5.7866
Br -5.5484 -5.4448 4.2285
Br -7.5147 -0.5186 1.3098
Br -7.7546 -2.0947 5.2219
Br -5.5998 -6.8644 15.2991
Br -10.1038 -8.0582 2.2388
Br -10.0221 -7.7454 9.5122
Br -0.4923 -0.9515 2.0025
Br -7.4281 -11.1438 8.6288
Br -6.4035 -9.1121 12.0385
C -8.5920 -3.2249 8.8819
C -2.9529 -6.8818 -0.5585
C -1.6719 -6.7745 5.7139
C -8.6170 -5.8694 12.5622
C -4.8768 -3.0023 8.2279
C -8.1075 -4.3934 9.4798
C -10.6016 -8.9663 13.2032
C -8.1565 -12.4829 12.0905
C -3.2037 -8.2045 2.6238
C -2.3094 -6.3467 6.8839
C -5.7309 -6.6061 -3.0378
C -2.2565 -7.2696 -1.7083
C -4.1493 -3.3768 7.0927
C -8.2661 -3.1429 -1.9598
C -9.2829 -5.4635 13.7239
C -2.7499 -9.3912 3.2099
```


Material: Dy4PuTl7
Method: DFT, GGA-PBE
State: optimized geometry

Calculated values
magnetic moment	6.0	Bohr magnetons per cell
calculated formation energy	-24	meV per atom

Geometry as extended XYZ:
```
12
Lattice="5.7292 0.0000 0.0000 2.8646 9.5317 -0.0701 2.8646 0.2984 6.6842" Properties=species:S:1:pos:R:3 pbc="T T T"
Tl 5.7292 4.4279 1.8128
Tl 8.5937 8.7120 3.4674
Tl 5.7292 5.4023 4.8013
Tl 2.8646 0.0000 0.0000
Tl 2.8646 1.1182 3.1467
Tl 8.5937 3.3765 5.5489
Tl 2.8646 6.4536 1.0651
Pu 0.0000 0.0000 0.0000
Dy 2.8646 3.1591 0.7402
Dy 5.7292 7.5716 2.5383
Dy 8.5937 6.6710 5.8738
Dy 5.7292 2.2586 4.0757
```


Material: Nd3AsI7
Method: DFT, GGA-PBE
State: optimized geometry

Calculated values
energy relative to the elements, uncorrected	-1.22	eV per atom
magnetic moment	1.1	Bohr magnetons per cell

Geometry as extended XYZ:
```
11
Lattice="7.4593 0.0000 0.0000 0.0000 9.1469 0.0000 0.0000 -4.5735 7.9215" Properties=species:S:1:pos:R:3 pbc="T T T"
Nd 5.7538 -2.2275 3.9949
Nd 5.7538 2.2275 3.9949
Nd 5.7538 0.0000 7.8531
I 4.0480 6.8006 1.3546
I 0.1419 2.2056 6.5544
I 4.0480 4.5735 5.2122
I 0.1419 -2.2056 6.5544
I 4.0480 2.3463 1.3546
I 0.1846 4.5735 2.6405
I 0.1419 0.0000 2.7342
As 4.4099 0.0000 5.2810
```


Material: Fe5Ni2Pd4
Method: DFT, GGA-PBE
State: optimized geometry

Calculated values
magnetic moment	16.8	Bohr magnetons per cell
calculated formation energy	43	meV per atom

Geometry as extended XYZ:
```
11
Lattice="-1.5618 0.6143 -2.0330 4.5294 -2.1851 -4.1400 -3.1690 -7.9662 0.0274" Properties=species:S:1:pos:R:3 pbc="T T T"
Ni -0.9048 -3.0212 -0.2178
Ni 2.2653 -7.1301 -3.8948
Pd -1.2249 -4.7857 -2.2143
Pd -0.3766 -0.8782 -1.6853
Pd 1.0236 -4.7512 -3.9313
Pd 0.1752 -8.6588 -4.4603
Fe 0.9977 -3.2182 -1.7389
Fe 3.0822 -3.0894 -3.3014
Fe 0.3628 -6.9330 -2.3737
Fe -1.7217 -7.0619 -0.8112
Fe 2.2647 -1.0925 -2.0700
```


Material: YCu3Bi
Method: DFT, GGA-PBE
State: optimized geometry

Calculated values
ΔE to the lowest computed polymorph	0	meV per atom
magnetic moment	0.0	Bohr magnetons per cell
calculated formation energy	590	meV per atom

Geometry as extended XYZ:
```
5
Lattice="4.9349 0.0000 0.0000 0.0000 4.9349 0.0000 0.0000 0.0000 4.9349" Properties=species:S:1:pos:R:3 pbc="T T T"
Bi 0.0000 0.0000 0.0000
Y 2.4674 2.4674 2.4674
Cu 0.0000 2.4674 0.0000
Cu 0.0000 0.0000 2.4674
Cu 2.4674 0.0000 0.0000
```


Material: PrY2Pt
Method: DFT, GGA-PBE
State: optimized geometry

Calculated values
ΔE to the lowest computed polymorph	0	meV per atom
magnetic moment	0.0	Bohr magnetons per cell
calculated formation energy	-674	meV per atom

Geometry as extended XYZ:
```
16
Lattice="-5.8516 -0.4880 3.0485 3.1348 -3.4936 5.4580 1.6302 8.4699 4.4852" Properties=species:S:1:pos:R:3 pbc="T T T"
Pr 3.4895 2.8744 9.1078
Pr 0.5852 4.5098 7.0754
Pr -1.6718 -0.0215 5.9163
Pr -4.5762 1.6138 3.8838
Y -0.4429 1.5607 9.0760
Y -2.9010 3.2333 6.8110
Y -2.2911 6.4022 8.4891
Y -0.6437 2.9275 3.9157
Y 0.1670 4.7297 10.7541
Y -1.2536 -0.2414 2.2376
Y 1.8144 1.2550 6.1807
Y 1.2045 -1.9139 4.5026
Pt 0.6540 -1.1830 7.2643
Pt -1.7407 5.6712 5.7274
Pt 1.2127 0.7411 3.4277
Pt -2.2993 3.7471 9.5639
```


Material: Pm4Pr3Y2
Method: DFT, GGA-PBE
State: optimized geometry

Calculated values
ΔE to the lowest computed polymorph	54	meV per atom
magnetic moment	0.0	Bohr magnetons per cell
calculated formation energy	66	meV per atom

Geometry as extended XYZ:
```
9
Lattice="3.6564 0.0000 0.0000 -1.8282 3.1665 0.0000 0.0000 0.0000 27.2113" Properties=species:S:1:pos:R:3 pbc="T T T"
Y 1.8282 1.0555 23.7326
Y 1.8282 1.0555 2.4195
Pm 0.0000 0.0000 20.8644
Pm 1.8282 1.0555 11.8328
Pm 1.8282 1.0555 5.8093
Pm 0.0000 0.0000 14.7631
Pr 0.0000 0.0000 8.7260
Pr 1.8282 1.0555 17.8093
Pr 0.0000 0.0000 26.7568
```


Material: Rb2Ba2Pt
Method: DFT, GGA-PBE
State: optimized geometry

Calculated values
magnetic moment	0.0	Bohr magnetons per cell
calculated formation energy	-92	meV per atom

Geometry as extended XYZ:
```
10
Lattice="8.5205 0.0000 0.0000 0.0000 8.5205 0.0000 0.0000 0.0000 8.1023" Properties=species:S:1:pos:R:3 pbc="T T T"
Rb 1.5566 5.8168 4.0511
Rb 5.8168 6.9640 4.0511
Rb 2.7037 1.5566 4.0511
Rb 6.9640 2.7037 4.0511
Pt 0.0000 0.0000 0.0000
Pt 4.2603 4.2603 0.0000
Ba 1.6058 2.6544 0.0000
Ba 6.9147 5.8661 0.0000
Ba 5.8661 1.6058 0.0000
Ba 2.6544 6.9147 0.0000
```